Density functional theory data (PBE-GGA) for a geometry-optimized Sc3BiB structure.

The structure in extended XYZ format:
```
10
Lattice="4.179 -2.413 0.000 0.000 4.826 0.000 0.000 0.000 9.850" Properties=species:S:1:pos:R:3 pbc="T T T"
Sc 0.000 0.000 2.462
Sc 0.000 0.000 7.387
Sc 1.393 2.413 0.639
Sc 1.393 2.413 4.286
Sc 2.786 0.000 5.564
Sc 2.786 0.000 9.211
B 0.000 0.000 0.000
B 0.000 0.000 4.925
Bi 1.393 2.413 7.387
Bi 2.786 0.000 2.462
```

Values from the calculation:
DFT formation energy: -0.13 eV per atom
energy above the most stable polymorph in this dataset: 0.441 eV/atom

Density functional theory data (PBE-GGA) for a geometry-optimized CsIn2Pt2 structure.

The structure in extended XYZ format:
```
10
Lattice="-1.561 6.524 -2.774 0.270 -6.077 -3.927 -5.584 -1.937 4.457" Properties=species:S:1:pos:R:3 pbc="T T T"
Cs -1.350 -4.986 -2.662
Cs -5.526 3.496 0.419
In -2.368 3.619 -1.760
In -4.762 -0.476 -0.139
In -2.113 -1.014 -2.104
In -4.507 -5.108 -0.483
Pt -0.888 1.442 -2.499
Pt -3.165 -2.691 -0.289
Pt -5.987 -2.932 0.256
Pt -3.710 1.201 -1.954
```

Values from the calculation:
DFT formation energy: -0.35 eV per atom
energy above the most stable polymorph in this dataset: 0.000 eV/atom

Density functional theory data (PBE-GGA) for a geometry-optimized Ce2NpZn structure.

The structure in extended XYZ format:
```
4
Lattice="-1.768 -2.312 -0.671 1.980 -0.924 -2.036 4.513 -5.443 6.858" Properties=species:S:1:pos:R:3 pbc="T T T"
Np 0.106 -1.618 -1.354
Zn 2.363 -4.339 2.075
Ce 3.355 -4.046 5.098
Ce 1.159 -1.397 1.761
```

Values from the calculation:
DFT formation energy: 0.10 eV per atom
energy above the most stable polymorph in this dataset: 0.057 eV/atom

Density functional theory data (PBE-GGA) for a geometry-optimized Ce3In2Rh structure.

The structure in extended XYZ format:
```
12
Lattice="7.873 0.000 -0.646 3.937 5.230 -0.323 1.920 0.000 8.044" Properties=species:S:1:pos:R:3 pbc="T T T"
Ce 7.579 3.304 5.691
Ce 2.884 0.000 1.211
Ce 6.151 1.926 1.385
Ce 10.088 3.304 1.062
Ce 3.642 1.926 6.014
Ce 6.909 0.000 6.188
In 0.000 0.000 0.000
In 4.897 0.000 3.699
In 4.897 3.802 3.699
In 8.833 1.427 3.377
Rh 7.873 2.981 -0.646
Rh 3.937 2.249 -0.323
```

Values from the calculation:
DFT formation energy: -0.30 eV per atom

Density functional theory data (PBE-GGA) for a geometry-optimized ZnHg2Sb structure.

The structure in extended XYZ format:
```
4
Lattice="4.667 0.000 0.000 0.000 4.642 0.067 0.000 0.840 4.559" Properties=species:S:1:pos:R:3 pbc="T T T"
Hg 0.000 5.337 4.502
Hg 0.000 2.888 2.437
Sb 2.333 1.371 1.157
Zn 2.333 4.112 3.470
```

Values from the calculation:
ΔE_f (raw): 0.12 eV per atom
energy above the most stable polymorph in this dataset: 0.040 eV/atom

Density functional theory data (PBE-GGA) for a geometry-optimized Cs3SbF structure.

The structure in extended XYZ format:
```
10
Lattice="-0.902 1.134 -4.644 -1.206 -7.188 -4.069 -12.055 -1.797 1.899" Properties=species:S:1:pos:R:3 pbc="T T T"
Cs -4.120 -1.166 -0.929
Cs -2.761 -3.722 -4.368
Cs -11.543 -2.869 0.090
Cs -8.434 -1.725 -2.783
Cs -10.183 -5.428 -3.347
Cs -5.872 -4.864 -1.500
Sb -3.456 -6.045 -7.348
Sb -12.957 -6.599 -5.642
F -8.628 -3.938 -0.744
F -5.684 -2.652 -3.548
```

Values from the calculation:
ΔE_f (raw): -1.21 eV per atom
energy above the most stable polymorph in this dataset: 0.023 eV/atom

Density functional theory data (PBE-GGA) for a geometry-optimized GaReNF2 structure.

The structure in extended XYZ format:
```
5
Lattice="3.886 0.000 0.000 0.000 3.886 0.000 0.000 0.000 4.129" Properties=species:S:1:pos:R:3 pbc="T T T"
Re 1.943 1.943 2.064
N 0.000 0.000 2.064
Ga 0.000 0.000 0.000
F 0.000 1.943 0.000
F 1.943 0.000 0.000
```

Values from the calculation:
ΔE_f (raw): 0.11 eV per atom
energy above the most stable polymorph in this dataset: 0.697 eV/atom

Density functional theory data (PBE-GGA) for a geometry-optimized CeAl3Si structure.

The structure in extended XYZ format:
```
10
Lattice="5.848 0.000 0.000 0.000 5.617 -2.936 0.000 0.000 5.874" Properties=species:S:1:pos:R:3 pbc="T T T"
Ce 1.462 2.777 2.937
Ce 4.386 2.840 0.000
Al 2.924 5.617 -1.435
Al 2.924 0.000 4.372
Al 0.000 5.617 -1.435
Al 5.848 0.000 4.372
Al 1.462 1.574 0.000
Al 4.386 4.043 2.937
Si 1.462 4.020 0.001
Si 4.386 1.597 2.937
```

Values from the calculation:
ΔE_f (raw): -0.34 eV per atom

Density functional theory data (PBE-GGA) for a geometry-optimized NiSb2Rh structure.

The structure in extended XYZ format:
```
4
Lattice="-0.045 1.684 -2.881 -3.320 -0.318 -0.134 -0.741 6.197 3.633" Properties=species:S:1:pos:R:3 pbc="T T T"
Ni -0.384 3.210 1.882
Rh -2.219 5.177 1.127
Sb -0.672 5.620 3.295
Sb -1.942 2.852 -0.236
```

Values from the calculation:
ΔE_f (raw): -0.14 eV per atom

Density functional theory data (PBE-GGA) for a geometry-optimized FeTcRu structure.

The structure in extended XYZ format:
```
3
Lattice="4.036 0.000 0.000 2.018 3.495 0.000 2.018 1.165 3.295" Properties=species:S:1:pos:R:3 pbc="T T T"
Fe 0.000 0.000 0.000
Ru 4.036 2.330 1.648
Tc 6.054 3.495 2.471
```

Values from the calculation:
DFT formation energy: 0.67 eV per atom
energy above the most stable polymorph in this dataset: 0.589 eV/atom

Density functional theory data (PBE-GGA) for a geometry-optimized Dy3Si3Rh structure.

The structure in extended XYZ format:
```
14
Lattice="4.182 0.000 0.630 2.064 5.286 0.497 0.203 0.034 12.847" Properties=species:S:1:pos:R:3 pbc="T T T"
Dy 2.993 1.775 8.521
Dy 3.455 3.546 5.453
Dy 1.654 1.382 3.214
Dy 4.795 3.938 10.760
Dy 2.436 1.529 12.223
Dy 4.013 3.791 1.751
Si 5.227 3.802 7.890
Si 1.222 1.518 6.085
Si 2.412 4.517 12.378
Si 4.037 0.803 1.596
Si 5.803 4.547 4.067
Si 0.646 0.773 9.908
Rh 3.396 0.430 5.851
Rh 3.053 4.890 8.124
```

Values from the calculation:
ΔE_f (raw): -0.93 eV per atom

Density functional theory data (PBE-GGA) for a geometry-optimized Tb4Pr8Th structure.

The structure in extended XYZ format:
```
13
Lattice="12.184 -0.460 -0.711 -10.169 9.942 -4.738 -1.348 -2.640 5.489" Properties=species:S:1:pos:R:3 pbc="T T T"
Tb 0.580 6.055 -1.228
Tb 5.061 2.676 1.817
Tb 0.171 0.768 2.149
Tb 6.147 0.085 -0.370
Pr -3.190 8.097 -2.192
Pr 3.669 -0.623 2.303
Pr 2.565 1.462 -0.533
Pr -0.996 2.552 -0.641
Pr -0.602 8.243 -4.376
Pr 4.025 4.775 -1.061
Pr -3.591 2.117 2.537
Pr 2.787 6.762 -3.862
Th -4.853 3.914 -0.125
```

Values from the calculation:
DFT formation energy: 0.07 eV per atom

Density functional theory data (PBE-GGA) for a geometry-optimized KTa2Sb structure.

The structure in extended XYZ format:
```
4
Lattice="3.509 0.000 0.000 0.000 3.509 0.000 0.000 0.000 8.576" Properties=species:S:1:pos:R:3 pbc="T T T"
K 0.000 0.000 4.381
Sb 1.754 1.754 7.012
Ta 0.000 0.000 0.111
Ta 1.754 1.754 1.361
```

Values from the calculation:
ΔE_f (raw): 0.33 eV per atom

Density functional theory data (PBE-GGA) for a geometry-optimized SrY2Sc structure.

The structure in extended XYZ format:
```
4
Lattice="5.456 0.000 0.000 0.000 3.527 0.042 0.000 1.982 7.116" Properties=species:S:1:pos:R:3 pbc="T T T"
Sc 2.728 1.377 1.790
Sr 2.728 4.132 5.369
Y 0.000 0.223 0.264
Y 0.000 2.531 3.315
```

Values from the calculation:
DFT formation energy: 0.24 eV per atom
energy above the most stable polymorph in this dataset: 0.127 eV/atom

Density functional theory data (PBE-GGA) for a geometry-optimized InCuP structure.

The structure in extended XYZ format:
```
6
Lattice="4.044 0.064 -0.103 0.044 4.044 -0.103 -1.923 -1.933 6.969" Properties=species:S:1:pos:R:3 pbc="T T T"
Cu -0.077 -0.078 3.444
Cu 2.242 2.253 3.320
In 1.135 1.141 5.518
In 1.030 1.035 1.246
P -0.922 -0.926 5.476
P 3.087 3.102 1.288
```

Values from the calculation:
DFT formation energy: 0.12 eV per atom

Density functional theory data (PBE-GGA) for a geometry-optimized CsCrCuS2 structure.

The structure in extended XYZ format:
```
10
Lattice="-3.208 2.305 -4.009 -4.566 -2.171 2.405 1.552 7.097 2.838" Properties=species:S:1:pos:R:3 pbc="T T T"
Cs -3.401 2.461 2.281
Cs -2.820 4.769 -1.048
Cr -5.028 -0.476 -0.201
Cr -2.745 0.610 -1.403
Cu 0.000 0.000 0.000
Cu -2.283 -1.085 1.202
S -5.132 5.380 1.630
S -4.686 1.709 -0.836
S -1.535 5.521 2.069
S -1.089 1.851 -0.397
```

Values from the calculation:
ΔE_f (raw): -0.61 eV per atom

Density functional theory data (PBE-GGA) for a geometry-optimized Dy2TlRh3 structure.

The structure in extended XYZ format:
```
6
Lattice="4.693 0.000 0.000 0.000 5.483 0.000 -2.346 -2.742 4.859" Properties=species:S:1:pos:R:3 pbc="T T T"
Dy 2.346 0.000 1.734
Dy 0.000 2.742 3.125
Tl 0.000 2.742 0.000
Rh 0.000 0.000 3.406
Rh 0.000 0.000 0.000
Rh 2.346 2.742 1.453
```

Values from the calculation:
DFT formation energy: -0.34 eV per atom
energy above the most stable polymorph in this dataset: 0.314 eV/atom

Density functional theory data (PBE-GGA) for a geometry-optimized Y4S5O structure.

The structure in extended XYZ format:
```
10
Lattice="-0.967 -3.485 -0.905 1.043 1.516 -6.952 8.045 -1.436 4.615" Properties=species:S:1:pos:R:3 pbc="T T T"
Y 5.074 -0.605 -3.090
Y 7.884 -3.749 -1.664
Y 3.046 -2.800 -0.153
Y 0.237 0.344 -1.579
S 5.265 -2.992 -1.783
S 4.727 -3.775 1.807
S 3.394 0.370 -5.049
S 0.038 -0.984 -3.929
S 2.856 -0.413 -1.460
O -0.483 -1.743 -0.453
```

Values from the calculation:
ΔE_f (raw): -2.17 eV per atom

Density functional theory data (PBE-GGA) for a geometry-optimized BeAsIr2 structure.

The structure in extended XYZ format:
```
8
Lattice="-3.020 3.147 2.711 -3.807 -3.438 -0.251 -1.671 -2.408 5.798" Properties=species:S:1:pos:R:3 pbc="T T T"
Be -3.414 -0.146 1.230
Be -4.446 -2.996 3.389
As 0.000 0.000 0.000
As -4.052 0.296 4.870
Ir -2.672 0.821 3.014
Ir -3.284 -2.244 1.730
Ir -3.951 -2.040 5.262
Ir -7.089 -1.937 6.510
```

Values from the calculation:
DFT formation energy: 0.31 eV per atom
energy above the most stable polymorph in this dataset: 0.476 eV/atom

Density functional theory data (PBE-GGA) for a geometry-optimized CsHfSn2 structure.

The structure in extended XYZ format:
```
4
Lattice="0.000 3.907 3.907 3.907 0.000 3.907 3.907 3.907 0.000" Properties=species:S:1:pos:R:3 pbc="T T T"
Cs 0.000 0.000 0.000
Hf 3.907 3.907 3.907
Sn 1.953 1.953 1.953
Sn 5.860 5.860 5.860
```

Values from the calculation:
DFT formation energy: 0.52 eV per atom
energy above the most stable polymorph in this dataset: 0.264 eV/atom

Density functional theory data (PBE-GGA) for a geometry-optimized Ac12Pm7Er structure.

The structure in extended XYZ format:
```
20
Lattice="6.542 0.000 -1.346 -3.392 10.405 -5.435 0.241 0.000 12.217" Properties=species:S:1:pos:R:3 pbc="T T T"
Ac -1.375 6.111 -1.170
Ac 0.119 1.823 6.112
Ac 1.500 6.809 -4.320
Ac 2.907 0.002 3.642
Ac 2.012 4.289 4.263
Ac -1.499 6.807 4.323
Ac 4.891 3.598 1.112
Ac 1.380 6.117 1.172
Ac 0.485 10.403 1.793
Ac 1.892 3.596 9.756
Ac 3.273 8.582 -0.677
Ac 4.767 4.294 6.606
Pm -1.868 7.886 -4.261
Pm 5.899 0.003 1.757
Pm 1.869 7.883 4.266
Pm 3.271 0.000 -0.673
Pm 1.523 2.522 1.170
Pm -2.507 10.402 3.678
Pm 5.260 2.519 9.696
Er 0.000 0.000 0.000
```

Values from the calculation:
DFT formation energy: 0.19 eV per atom

Density functional theory data (PBE-GGA) for a geometry-optimized La2CuAg3 structure.

The structure in extended XYZ format:
```
6
Lattice="3.784 0.000 0.000 0.000 4.741 0.000 0.000 0.000 8.137" Properties=species:S:1:pos:R:3 pbc="T T T"
La 0.000 2.371 0.095
La 0.000 0.000 4.004
Cu 1.892 2.371 2.678
Ag 1.892 0.000 6.793
Ag 1.892 0.000 1.439
Ag 1.892 2.371 5.334
```

Values from the calculation:
DFT formation energy: -0.26 eV per atom
energy above the most stable polymorph in this dataset: 0.000 eV/atom

Density functional theory data (PBE-GGA) for a geometry-optimized YNiMo2 structure.

The structure in extended XYZ format:
```
4
Lattice="-0.276 -2.209 -2.391 2.364 -1.784 1.376 -4.652 -3.357 3.639" Properties=species:S:1:pos:R:3 pbc="T T T"
Mo -0.352 -0.254 0.276
Mo -1.974 -1.424 1.544
Ni -0.119 -2.836 0.402
Y -2.445 -4.514 2.222
```

Values from the calculation:
DFT formation energy: 0.32 eV per atom
energy above the most stable polymorph in this dataset: 0.208 eV/atom

Density functional theory data (PBE-GGA) for a geometry-optimized BaIn6Pt4 structure.

The structure in extended XYZ format:
```
11
Lattice="4.483 0.000 0.000 0.000 7.913 0.000 0.000 -3.956 6.853" Properties=species:S:1:pos:R:3 pbc="T T T"
Ba 0.000 0.000 0.000
In 0.000 3.956 0.471
In 2.242 1.619 5.503
In 0.000 2.386 3.191
In 0.000 5.527 3.191
In 2.242 -1.619 5.503
In 2.242 0.000 2.700
Pt 2.242 3.956 3.985
Pt 2.242 2.483 1.434
Pt 2.242 5.430 1.434
Pt 0.000 0.000 4.569
```

Values from the calculation:
DFT formation energy: -0.59 eV per atom
energy above the most stable polymorph in this dataset: 0.000 eV/atom

Density functional theory data (PBE-GGA) for a geometry-optimized CrGa2Fe structure.

The structure in extended XYZ format:
```
4
Lattice="0.000 2.961 2.961 2.961 0.000 2.961 2.961 2.961 0.000" Properties=species:S:1:pos:R:3 pbc="T T T"
Cr 0.000 0.000 0.000
Fe 2.961 2.961 2.961
Ga 1.480 1.480 1.480
Ga 4.441 4.441 4.441
```

Values from the calculation:
DFT formation energy: -0.03 eV per atom